Record 1
Density functional theory data (PBE-GGA) for a geometry-optimized Ho2ZnIn structure.

POSCAR file:
```
Ho2ZnIn
1.0
3.6233 0.0000 0.0000
0.0000 3.6233 0.0000
0.0000 0.0000 7.4030
Ho Zn In
2 1 1
direct
0.0000 0.0000 0.2304 Ho
0.0000 0.0000 0.7696 Ho
0.5000 0.5000 0.0000 Zn
0.5000 0.5000 0.5000 In
```

Values from the calculation:
- volume (Å³ per cell) = 97
- space group = P4/mmm, No. 123
- energy of formation from the pure elements (eV/atom) = -0.414
- VASP energy (eV per cell) = -14.8
- mass density (Mg/m³) = 8.7


Record 2
Density functional theory data (PBE-GGA) for a geometry-optimized Ho3Zn8In structure.

POSCAR file:
```
Ho3Zn8In
1.0
2.7337 1.5783 8.7768
-2.7337 1.5783 8.7768
0.0000 -3.1566 8.7768
Ho Zn In
3 8 1
direct
0.0000 0.0000 0.0000 Ho
0.1257 0.1257 0.1257 Ho
0.6186 0.6186 0.6186 Ho
0.0540 0.5627 0.5626 Zn
0.0624 0.0624 0.5614 Zn
0.0624 0.5614 0.0624 Zn
0.3116 0.3116 0.3116 Zn
0.5614 0.0624 0.0624 Zn
0.5626 0.0540 0.5626 Zn
0.5626 0.5626 0.0540 Zn
0.8100 0.8100 0.8100 Zn
0.4959 0.4959 0.4959 In
```

Values from the calculation:
- volume (Å³ per cell) = 227
- space group = R3m, No. 160
- energy of formation from the pure elements (eV/atom) = -0.271
- VASP energy (eV per cell) = -29.9
- mass density (Mg/m³) = 8.3


Record 3
Density functional theory data (PBE-GGA) for a geometry-optimized HoZnIn2 structure.

POSCAR file:
```
HoZnIn2
1.0
2.2760 1.3141 5.3318
-2.2760 1.3141 5.3318
0.0000 -2.6281 5.3318
Ho Zn In
1 1 2
direct
0.0000 0.0000 0.0000 Ho
0.5000 0.5000 0.5000 Zn
0.2262 0.2262 0.2262 In
0.7738 0.7738 0.7738 In
```

Values from the calculation:
- volume (Å³ per cell) = 96
- space group = R-3m, No. 166
- energy of formation from the pure elements (eV/atom) = -0.196
- VASP energy (eV per cell) = -12.1
- mass density (Mg/m³) = 8.0


Record 4
Density functional theory data (PBE-GGA) for a geometry-optimized Ho2Zn3In structure.

POSCAR file:
```
Ho2Zn3In
1.0
-1.8219 2.2825 7.9599
1.8219 -2.2825 7.9599
1.8219 2.2825 -7.9599
Ho Zn In
2 3 1
direct
0.0000 0.0000 0.0000 Ho
0.7793 0.2793 0.5000 Ho
0.1848 0.6848 0.5000 Zn
0.3381 0.8381 0.5000 Zn
0.4366 0.4366 0.0000 Zn
0.6020 0.6020 0.0000 In
```

Values from the calculation:
- volume (Å³ per cell) = 132
- E above lowest polymorph (eV/f.u.) = 0.53
- space group = Imm2, No. 44
- energy of formation from the pure elements (eV/atom) = -0.305
- VASP energy (eV per cell) = -17.5
- mass density (Mg/m³) = 8.0